VASP calculation (GGA+U) on a relaxed structure of LuTlCoO3.

Cell lengths 3.1412, 15.9966, 7.4579 Å; angles 90.00, 90.00, 90.00 degrees
With the nearest neighbours (Å) after each atom.
Space group Cmcm (No. 63)
Asymmetric unit:
Lu: 0.0000 0.0000 0.0000 x4  2 O 2.05
Tl: 0.0000 0.3604 0.2500 x4  2 O 2.18
Co: 0.0000 0.3478 0.7500 x4  1 O 1.82
O: 0.0000 0.1220 0.0828 x8  1 Lu 2.05, 2 Co 2.06
O: 0.0000 0.2341 0.7500 x4  1 Co 1.82

## Properties
The total energy is -131.0 eV/cell.